{"formula": "VF5", "functional": "PBE with a Hubbard U", "state": "optimized geometry", "energy_ev_per_atom": -5.178, "spacegroup": "No. 15", "n_ef_per_ev_atom": 0.0000, "lattice_angstrom": [[5.486, 0.267, -0.161], [1.539, 5.273, -0.161], [1.496, 1.180, 5.915]], "species": ["F", "F", "F", "F", "F", "F", "F", "F", "F", "F", "V", "V"], "fractional_positions": [[0.764, 0.642, 0.170], [0.128, 0.872, 0.750], [0.667, 0.335, 0.559], [0.642, 0.764, 0.670], [0.236, 0.358, 0.830], [0.872, 0.128, 0.250], [0.665, 0.333, 0.941], [0.333, 0.665, 0.441], [0.335, 0.667, 0.059], [0.358, 0.236, 0.330], [0.403, 0.597, 0.750], [0.597, 0.403, 0.250]]}